# GdNiHg

GdNiHg after structural relaxation (PBE-GGA, Alexandria via LeMat-Bulk).

Lattice parameters (Å, degrees): 4.557 4.557 3.567 90.00 90.00 120.00
Fractional positions:
Gd: 0.000 0.000 0.000
Ni: 0.333 0.667 0.500
Hg: 0.667 0.333 0.500

Calculated values
crystal system: hexagonal
DFT formation energy: -0.91 eV per formula unit
energy: -7.02 eV/atom